A geometry-optimized MgSc2P structure, computed with PBE-GGA.

The structure in POSCAR format:
```
MgSc2P
1.0
5.692 0.001 0.000
2.920 4.886 0.000
-4.306 -2.444 2.808
P Sc Mg
1 2 1
Direct
0.750 0.250 0.500
0.250 0.750 0.500
0.000 0.000 0.000
0.500 0.500 0.000
```

Results
As for the crystal system: tetragonal. The calculation puts the formation energy at -464 meV per atom. The calculation puts the energy relative to the lowest polymorph listed for this composition at 244 meV/atom.


A geometry-optimized SrSi structure, computed with PBE-GGA.

The structure in POSCAR format:
```
SrSi
1.0
-6.842 0.845 2.140
0.384 -6.201 3.676
2.268 3.598 5.832
Sr Si
4 4
Direct
0.000 0.500 0.500
0.000 0.000 0.000
0.500 0.000 0.500
0.500 0.500 0.000
0.750 0.750 0.250
0.750 0.250 0.750
0.250 0.750 0.750
0.250 0.250 0.250
```

Results
As for the crystal system: cubic.


A geometry-optimized Pm2Cd2Pb structure, computed with PBE-GGA.

The structure in POSCAR format:
```
Pm2Cd2Pb
1.0
3.979 0.000 0.000
0.000 3.979 0.000
-1.990 -1.990 9.489
Pm Cd Pb
2 2 1
Direct
0.602 0.602 0.204
0.398 0.398 0.796
0.750 0.250 0.500
0.250 0.750 0.500
0.000 0.000 0.000
```

Results
As for the crystal system: tetragonal. The calculation puts the formation energy at -159 meV per atom. The calculation puts the energy relative to the lowest polymorph listed for this composition at 70 meV/atom.


A geometry-optimized Ag6Te2S structure, computed with PBE-GGA.

The structure in POSCAR format:
```
Ag6Te2S
1.0
-0.197 5.638 -1.993
1.159 -1.920 -5.547
-13.276 -1.288 -2.328
Ag S Te
12 2 4
Direct
0.795 0.205 0.500
0.824 0.176 0.846
0.824 0.176 0.154
0.295 0.295 0.000
0.176 0.824 0.154
0.205 0.795 0.500
0.324 0.324 0.346
0.705 0.705 0.000
0.676 0.676 0.654
0.324 0.324 0.654
0.176 0.824 0.846
0.676 0.676 0.346
0.500 0.500 0.500
0.000 0.000 0.000
0.000 0.000 0.335
0.500 0.500 0.165
0.500 0.500 0.835
0.000 0.000 0.665
```

Results
As for the crystal system: tetragonal.


| no. | Fermi-level density of states (states/eV/cell) | raw total energy (eV/atom) |
| --- | --- | --- |
| 1 | 2.9 | -5.38 |
| 2 | 1.1 | -2.90 |
| 3 | 4.3 | -3.17 |
| 4 | 1.3 | -2.99 |